Record 1
# Tb2NdSm6

A relaxed structure of Tb2NdSm6 (PBE, Alexandria via LeMat-Bulk).

The structure in POSCAR format:
```
Tb2NdSm6
1.0
3.423 0.000 0.625
2.026 5.607 -1.407
-1.366 -4.058 17.173
Tb Nd Sm
2 1 6
Direct
0.833 0.500 0.834
0.167 0.500 0.166
0.500 0.500 0.500
0.436 0.190 0.937
0.564 0.810 0.063
0.772 0.188 0.268
0.102 0.191 0.605
0.228 0.812 0.732
0.898 0.809 0.395
```

Summary:
Energy above the most stable polymorph in this dataset, eV/atom: 0.000
Formation energy from the elements, meV/atom: 186.8
Crystal system: monoclinic

Record 2
# TaCo6H3

A relaxed structure of TaCo6H3 (PBE, Alexandria via LeMat-Bulk).

The structure in POSCAR format:
```
TaCo6H3
1.0
-0.726 5.009 0.634
-1.332 -2.234 -4.387
-2.920 -3.349 2.592
Ta Co H
1 6 3
Direct
0.819 0.910 0.729
0.337 0.424 0.733
0.259 0.845 0.233
0.819 0.974 0.233
0.310 0.913 0.733
0.820 0.397 0.733
0.388 0.414 0.233
0.635 0.318 0.953
0.310 0.655 0.966
0.303 0.151 0.454
```

Summary:
E_tot, eV per atom: -6.304
Crystal system: trigonal

Record 3
# Tb3Cu2Ir

A relaxed structure of Tb3Cu2Ir (PBE, Alexandria via LeMat-Bulk).

The structure in POSCAR format:
```
Tb3Cu2Ir
1.0
-1.644 0.972 -3.741
-5.511 -9.814 -0.127
-9.001 4.987 5.252
Tb Cu Ir
12 8 4
Direct
0.250 0.375 0.049
0.750 0.625 0.951
0.750 0.875 0.451
0.250 0.125 0.549
0.250 0.705 0.228
0.750 0.295 0.772
0.750 0.205 0.272
0.250 0.795 0.728
0.250 0.446 0.382
0.750 0.554 0.618
0.750 0.946 0.118
0.250 0.054 0.882
0.250 0.695 0.493
0.750 0.305 0.507
0.750 0.195 0.007
0.250 0.805 0.993
0.250 0.998 0.308
0.750 0.002 0.692
0.750 0.498 0.192
0.250 0.502 0.808
0.250 0.130 0.123
0.750 0.870 0.877
0.750 0.630 0.377
0.250 0.370 0.623
```

Summary:
Formation energy from the elements, meV/atom: -414.5
Crystal system: orthorhombic

Record 4
# Pr2Sm8Y3

A relaxed structure of Pr2Sm8Y3 (PBE, Alexandria via LeMat-Bulk).

The structure in POSCAR format:
```
Pr2Sm8Y3
1.0
-6.885 0.541 0.825
-5.740 -5.348 -5.625
-4.841 -7.640 3.375
Pr Sm Y
2 8 3
Direct
0.472 0.220 0.220
0.528 0.780 0.780
0.066 0.580 0.580
0.934 0.420 0.420
0.003 0.189 0.189
0.997 0.811 0.811
0.567 0.563 0.195
0.567 0.195 0.563
0.433 0.805 0.437
0.433 0.437 0.805
0.500 0.000 0.000
0.000 0.173 0.827
0.000 0.827 0.173
```

Summary:
Energy above the most stable polymorph in this dataset, eV/atom: 0.000
Formation energy from the elements, meV/atom: 209.6
Crystal system: monoclinic

Record 5
# Ag3AsOs

A relaxed structure of Ag3AsOs (PBE, Alexandria via LeMat-Bulk).

The structure in POSCAR format:
```
Ag3AsOs
1.0
4.804 0.000 0.000
0.000 4.804 0.000
0.000 0.000 4.804
As Os Ag
1 1 3
Direct
0.000 0.000 0.000
0.500 0.500 0.500
0.000 0.500 0.000
0.000 0.000 0.500
0.500 0.000 0.000
```

Summary:
Energy above the most stable polymorph in this dataset, eV/atom: 0.000
Formation energy from the elements, meV/atom: 1440.1
Crystal system: cubic

Record 6
# Al4Ru5

A relaxed structure of Al4Ru5 (PBE, Alexandria via LeMat-Bulk).

The structure in POSCAR format:
```
Al4Ru5
1.0
2.901 -3.954 3.557
0.659 5.457 -2.548
-4.117 1.686 4.112
Al Ru
4 5
Direct
0.691 0.000 0.691
0.309 0.000 0.309
0.000 0.309 0.309
0.000 0.691 0.691
0.000 0.000 0.000
0.667 0.333 0.000
0.333 0.667 0.000
0.333 0.333 0.665
0.667 0.667 0.335
```

Summary:
Energy above the most stable polymorph in this dataset, eV/atom: 0.180
Formation energy from the elements, meV/atom: -225.9
Crystal system: tetragonal

Record 7
# CeNdTm2

A relaxed structure of CeNdTm2 (PBE, Alexandria via LeMat-Bulk).

The structure in POSCAR format:
```
CeNdTm2
1.0
-0.407 -4.889 -0.209
3.921 -0.460 3.143
-3.149 0.094 3.943
Tm Nd Ce
2 1 1
Direct
0.000 0.000 0.500
0.000 0.500 0.000
0.500 0.000 0.000
0.500 0.500 0.500
```

Summary:
Energy above the most stable polymorph in this dataset, eV/atom: 0.019
Formation energy from the elements, meV/atom: 71.0
Crystal system: tetragonal

Record 8
# Li6Ac2Tl9

A relaxed structure of Li6Ac2Tl9 (PBE, Alexandria via LeMat-Bulk).

The structure in POSCAR format:
```
Li6Ac2Tl9
1.0
6.427 0.000 0.000
-3.214 5.566 0.000
0.000 0.000 13.261
Li Ac Tl
6 2 9
Direct
0.333 0.667 0.000
0.667 0.333 0.000
0.333 0.667 0.662
0.667 0.333 0.662
0.667 0.333 0.338
0.333 0.667 0.338
0.000 0.000 0.669
0.000 0.000 0.331
0.500 0.000 0.827
0.000 0.500 0.827
0.500 0.500 0.827
0.500 0.000 0.173
0.000 0.500 0.173
0.500 0.500 0.173
0.500 0.000 0.500
0.000 0.500 0.500
0.500 0.500 0.500
```

Summary:
Formation energy from the elements, meV/atom: -115.5
Crystal system: hexagonal

Record 9
# KMgMo3

A relaxed structure of KMgMo3 (PBE, Alexandria via LeMat-Bulk).

The structure in POSCAR format:
```
KMgMo3
1.0
-3.817 0.666 -2.443
-2.028 -3.451 2.227
-1.517 2.937 3.170
Mg Mo K
1 3 1
Direct
0.500 0.500 0.500
0.000 0.500 0.000
0.000 0.000 0.500
0.500 0.000 0.000
0.000 0.000 0.000
```

Summary:
Energy above the most stable polymorph in this dataset, eV/atom: 0.413
Formation energy from the elements, meV/atom: 2862.6
Crystal system: cubic

Record 10
# KRhSe2

A relaxed structure of KRhSe2 (PBE, Alexandria via LeMat-Bulk).

The structure in POSCAR format:
```
KRhSe2
1.0
-3.120 0.616 0.819
-0.012 -2.647 1.944
2.463 4.434 6.052
K Rh Se
1 1 2
Direct
0.500 0.500 0.250
0.500 0.500 0.750
0.000 0.000 0.938
0.000 0.000 0.562
```

Summary:
Uncorrected formation energy, kJ/mol of formula units: -87
Crystal system: tetragonal

Record 11
# La4Tl3H2

A relaxed structure of La4Tl3H2 (PBE, Alexandria via LeMat-Bulk).

The structure in POSCAR format:
```
La4Tl3H2
1.0
-1.290 0.698 -4.656
-3.417 -4.391 2.847
-3.366 7.878 2.114
La Tl H
4 3 2
Direct
0.709 0.417 0.125
0.291 0.583 0.875
0.881 0.762 0.595
0.119 0.238 0.405
0.604 0.207 0.686
0.000 0.000 0.000
0.396 0.793 0.314
0.684 0.369 0.383
0.316 0.631 0.617
```

Summary:
E_tot, eV per atom: -4.142
Crystal system: monoclinic

Record 12
# Ac6IrRh2S3

A relaxed structure of Ac6IrRh2S3 (PBE, Alexandria via LeMat-Bulk).

The structure in POSCAR format:
```
Ac6IrRh2S3
1.0
-3.647 -5.579 3.232
6.873 -1.059 -2.551
1.701 4.236 6.405
Ac Ir Rh S
6 1 2 3
Direct
0.922 0.590 0.767
0.746 0.746 0.233
0.078 0.410 0.233
0.590 0.922 0.767
0.254 0.254 0.767
0.410 0.078 0.233
0.000 0.000 0.000
0.334 0.666 0.000
0.666 0.334 0.000
0.167 0.833 0.500
0.833 0.167 0.500
0.500 0.500 0.500
```

Summary:
Uncorrected formation energy, kJ/mol of formula units: -1505
Crystal system: monoclinic

Record 13
# KLiSi

A relaxed structure of KLiSi (PBE, Alexandria via LeMat-Bulk).

The structure in POSCAR format:
```
KLiSi
1.0
-1.406 -0.341 5.096
3.424 -1.895 3.571
2.174 3.253 3.571
K Li Si
1 1 1
Direct
0.750 0.750 0.750
0.000 0.000 0.000
0.500 0.500 0.500
```

Summary:
Uncorrected formation energy, kJ/mol of formula units: 244
Energy above the most stable polymorph in this dataset, eV/atom: 0.938
Crystal system: cubic

Record 14
# NdY2Sc

A relaxed structure of NdY2Sc (PBE, Alexandria via LeMat-Bulk).

The structure in POSCAR format:
```
NdY2Sc
1.0
3.538 0.000 0.000
1.769 3.064 0.000
1.769 1.021 11.421
Y Sc Nd
2 1 1
Direct
0.746 0.746 0.762
0.254 0.254 0.238
0.000 0.000 0.000
0.500 0.500 0.500
```

Summary:
Energy above the most stable polymorph in this dataset, eV/atom: 0.023
Formation energy from the elements, meV/atom: 52.6
Crystal system: trigonal

Record 15
# EuAs2Pb

A relaxed structure of EuAs2Pb (PBE, Alexandria via LeMat-Bulk).

The structure in POSCAR format:
```
EuAs2Pb
1.0
-1.045 -3.154 2.691
2.755 -3.186 0.732
3.368 1.540 6.511
Pb Eu As
1 1 2
Direct
0.000 0.000 0.000
0.500 0.500 0.500
0.247 0.247 0.258
0.753 0.753 0.742
```

Summary:
Energy above the most stable polymorph in this dataset, eV/atom: 0.060
Formation energy from the elements, meV/atom: -423.7
Crystal system: trigonal

Record 16
# EuInSb

A relaxed structure of EuInSb (PBE, Alexandria via LeMat-Bulk).

The structure in POSCAR format:
```
EuInSb
1.0
3.443 0.000 0.000
0.000 5.421 0.000
0.000 -2.710 4.694
Eu Sb In
1 1 1
Direct
0.667 0.667 0.333
0.168 0.333 0.667
0.165 0.000 0.000
```

Summary:
Uncorrected formation energy, kJ/mol of formula units: -139
Crystal system: trigonal

Record 17
# Np2IrN

A relaxed structure of Np2IrN (PBE, Alexandria via LeMat-Bulk).

The structure in POSCAR format:
```
Np2IrN
1.0
3.049 0.000 0.000
0.000 3.049 0.000
0.000 0.000 6.949
Np Ir N
2 1 1
Direct
0.000 0.000 0.702
0.000 0.000 0.298
0.500 0.500 0.000
0.500 0.500 0.500
```

Summary:
Uncorrected formation energy, kJ/mol of formula units: -115
Energy above the most stable polymorph in this dataset, eV/atom: 0.189
Crystal system: tetragonal

Record 18
# RbAg2Ge2

A relaxed structure of RbAg2Ge2 (PBE, Alexandria via LeMat-Bulk).

The structure in POSCAR format:
```
RbAg2Ge2
1.0
-0.468 4.306 2.229
-2.139 -2.193 3.788
3.232 0.416 5.198
Ge Rb Ag
2 1 2
Direct
0.378 0.378 0.245
0.622 0.622 0.755
0.000 0.000 0.000
0.750 0.250 0.500
0.250 0.750 0.500
```

Summary:
Energy above the most stable polymorph in this dataset, eV/atom: 0.000
Formation energy from the elements, meV/atom: 40.1
Crystal system: tetragonal

Record 19
# TlPbAu

A relaxed structure of TlPbAu (PBE, Alexandria via LeMat-Bulk).

The structure in POSCAR format:
```
TlPbAu
1.0
-1.758 4.462 3.782
-5.345 -5.119 0.341
2.086 -0.409 3.402
Pb Tl Au
2 2 2
Direct
0.804 0.737 0.507
0.872 0.289 0.744
0.301 0.587 0.170
0.240 0.028 0.923
0.637 0.981 0.205
0.485 0.346 0.462
```

Summary:
Formation energy from the elements, meV/atom: -41.4
Crystal system: triclinic

Record 20
# H3IrPb

A relaxed structure of H3IrPb (PBE, Alexandria via LeMat-Bulk).

The structure in POSCAR format:
```
H3IrPb
1.0
4.263 0.000 -0.027
0.000 6.847 0.002
0.030 0.000 4.213
H Ir Pb
6 2 2
Direct
0.571 0.402 0.200
0.408 0.802 0.935
0.908 0.551 0.435
0.071 0.951 0.700
0.908 0.551 0.967
0.408 0.802 0.467
0.109 0.706 0.701
0.609 0.647 0.201
0.382 0.337 0.701
0.882 0.016 0.200
```

Summary:
Energy above the most stable polymorph in this dataset, eV/atom: 0.000
Crystal system: orthorhombic